No. 1
# MnCrCl2

A relaxed structure of MnCrCl2 (PBE, the Alexandria database).

```
4
Lattice="-1.761 1.619 2.302 -1.181 -2.987 -0.840 4.952 -3.770 6.438" Properties=species:S:1:pos:R:3 pbc="T T T"
Cr 2.471 -1.881 3.212
Mn 2.237 -3.507 5.552
Cl 4.575 -3.483 5.948
Cl 0.155 -1.922 2.845
```

Calculated values
As for the energy above the lowest structure with this stoichiometry: 0.081 eV/atom. Its symmetry is No. 35. The crystal system is orthorhombic. Its raw formation energy is -0.19 eV/atom.

---

No. 2
# VNiGe

A relaxed structure of VNiGe (PBE, the Alexandria database).

```
12
Lattice="-3.693 -3.333 -4.433 0.200 -2.228 1.509 -4.911 4.411 7.164" Properties=species:S:1:pos:R:3 pbc="T T T"
Ni -3.578 0.045 0.540
Ni -5.026 1.033 2.191
Ni -5.934 1.136 4.876
Ni -2.471 -2.286 -0.637
Ge -3.951 2.294 3.910
Ge -4.653 -1.216 -1.179
Ge -1.396 -1.026 1.082
Ge -7.009 -0.124 3.157
V -5.207 3.477 5.824
V -3.398 -2.399 -3.093
V -2.651 0.158 2.996
V -5.754 -1.308 1.243
```

Calculated values
Its symmetry is No. 12. The crystal system is monoclinic. The calculated formation energy is -216.7 meV/atom.

---

No. 3
# K2Cl3F6

A relaxed structure of K2Cl3F6 (PBE, the Alexandria database).

```
22
Lattice="7.232 0.000 2.018 3.400 5.810 1.784 0.081 -0.391 13.680" Properties=species:S:1:pos:R:3 pbc="T T T"
K 5.411 4.572 15.662
K 7.219 1.862 8.920
K 5.302 0.847 1.820
K 3.494 3.556 8.562
Cl 3.795 5.387 12.064
Cl 4.259 1.159 11.640
Cl 7.481 2.741 12.823
Cl 3.232 2.677 4.660
Cl 6.918 0.032 5.419
Cl 6.454 4.260 5.842
F 3.543 5.153 13.867
F 3.789 0.643 13.354
F 6.754 2.542 14.498
F 2.514 2.444 6.333
F 10.073 5.642 9.013
F 5.969 3.744 7.552
F 7.170 0.265 3.615
F 6.924 4.775 4.128
F 3.959 2.877 2.985
F 8.199 2.975 11.149
F 0.640 -0.224 8.469
F 4.744 1.675 9.931
```

Calculated values
Its symmetry is No. 15. The crystal system is monoclinic. Its raw formation energy is -1.38 eV/atom.

---

No. 4
# Ni4AgS8

A relaxed structure of Ni4AgS8 (PBE, the Alexandria database).

```
13
Lattice="-1.825 1.424 6.493 -0.089 -5.011 4.733 4.733 -0.093 5.010" Properties=species:S:1:pos:R:3 pbc="T T T"
Ni 0.119 -0.645 9.359
Ni 1.005 -3.926 8.462
Ni 3.464 -1.418 8.603
Ni 1.050 -1.371 6.048
Ag 2.114 -2.760 12.177
S -0.406 0.109 5.128
S 0.356 -2.716 4.355
S 2.474 -0.557 4.477
S 0.395 -0.516 2.277
S 2.490 -2.840 7.079
S 1.748 -0.094 7.830
S -0.310 -2.193 7.712
S 1.710 -2.233 9.851
```

Calculated values
Its symmetry is No. 216. The crystal system is cubic. Its raw formation energy is -0.20 eV/atom.

---

No. 5
# Tb4RuBr5

A relaxed structure of Tb4RuBr5 (PBE, the Alexandria database).

```
10
Lattice="-0.639 -1.895 -3.452 2.175 -7.562 3.748 -8.823 1.498 3.116" Properties=species:S:1:pos:R:3 pbc="T T T"
Tb -4.476 -6.577 4.438
Tb -7.739 -6.313 2.593
Tb -2.811 -1.383 -1.026
Tb 0.452 -1.646 0.820
Ru -0.319 -0.947 -1.726
Br -4.929 -5.628 1.697
Br -5.901 -1.756 -0.249
Br -1.386 -6.204 3.662
Br 0.768 -4.729 0.148
Br -2.358 -2.331 1.716
```

Calculated values
Its symmetry is No. 12. The crystal system is monoclinic. Its raw formation energy is -1.35 eV/atom.